# BaNaHgF6, optimized geometry, DFT GGA-PBE
data_BaNaHgF6
_chemical_formula_sum 'Ba2 Na2 Hg2 F12'
_symmetry_space_group_name_H-M 'C 1 2 1'
_symmetry_Int_Tables_number 5
_symmetry_space_group_name_Hall 'C 2y'
_cell_length_a 5.9073
_cell_length_b 10.2580
_cell_length_c 5.6391
_cell_angle_alpha 90.00
_cell_angle_beta 90.05
_cell_angle_gamma 90.00
loop_
_atom_site_label
_atom_site_fract_x
_atom_site_fract_y
_atom_site_fract_z
_atom_site_occupancy
Ba1 0.0000 0.0000 0.0000 1
Na1 0.0000 0.3338 0.5000 1
Hg1 0.0000 0.6668 0.5000 1
F1 0.1423 0.5064 0.2796 1
F2 0.1689 0.8184 0.2799 1
F3 0.1877 0.1755 0.2808 1
# raw formation energy: -2395 meV per atom